# 1
NaTe3Au: optimized geometry, PBE.

Summary:
Its formation energy from raw total energies is -1.0 eV/f.u. The size of the total moment comes out at 0.000 μB per cell. The value obtained for the energy above the lowest structure with this stoichiometry is 0 meV/atom.

```
data_NaTe3Au
_chemical_formula_sum 'Na6 Te18 Au6'
_space_group_name_H-M_alt 'R -3 c'
_space_group_IT_number 167
_space_group_name_Hall '-R 3 2"c'
_cell_length_a 8.6684
_cell_length_b 8.6684
_cell_length_c 13.1074
_cell_angle_alpha 90.00
_cell_angle_beta 90.00
_cell_angle_gamma 120.00
loop_
_atom_site_label
_atom_site_fract_x
_atom_site_fract_y
_atom_site_fract_z
_atom_site_occupancy
Na1 0.0000 0.0000 0.2500 1
Te1 0.0000 0.4011 0.2500 1
Au1 0.0000 0.0000 0.0000 1
```

---

# 2
KTaNi2: optimized geometry, PBE.

Summary:
The size of the total moment comes out at 0.000 μB per cell. The value obtained for the energy above the lowest structure with this stoichiometry is 977 meV/atom. The value obtained for the formation energy is 112 kJ per mole of atoms.

```
data_KTaNi2
_chemical_formula_sum 'K2 Ta2 Ni4'
_space_group_name_H-M_alt 'I -4 m 2'
_space_group_IT_number 119
_space_group_name_Hall 'I -4 -2'
_cell_length_a 3.811
_cell_length_b 3.811
_cell_length_c 9.298
_cell_angle_alpha 90.00
_cell_angle_beta 90.00
_cell_angle_gamma 90.00
loop_
_atom_site_label
_atom_site_fract_x
_atom_site_fract_y
_atom_site_fract_z
_atom_site_occupancy
K1 0.000 0.000 0.000 1
Ta1 0.000 0.500 0.250 1
Ni1 0.000 0.000 0.500 1
Ni2 0.000 0.500 0.750 1
```

---

# 3
Al2TcH4: optimized geometry, PBE.

Summary:
The size of the total moment comes out at 0.000 μB per cell. The calculation puts the total DFT energy (no corrections) at -4.521 eV per atom.

```
data_Al2TcH4
_chemical_formula_sum 'Al4 Tc2 H8'
_space_group_name_H-M_alt 'P 1 21/m 1'
_space_group_IT_number 11
_space_group_name_Hall '-P 2yb'
_cell_length_a 4.386
_cell_length_b 4.535
_cell_length_c 6.576
_cell_angle_alpha 90.00
_cell_angle_beta 93.32
_cell_angle_gamma 90.00
loop_
_atom_site_label
_atom_site_fract_x
_atom_site_fract_y
_atom_site_fract_z
_atom_site_occupancy
Al1 0.210 0.250 0.048 1
Al2 0.285 0.250 0.491 1
Tc1 0.207 0.750 0.257 1
H1 0.092 0.022 0.762 1
H2 0.146 0.750 0.507 1
H3 0.397 0.750 0.027 1
```

---

# 4
ThGe4Pd6: optimized geometry, PBE.

Summary:
The size of the total moment comes out at 0.000 μB per cell. The value obtained for the formation energy is -62 kJ per mole of atoms.

```
data_ThGe4Pd6
_chemical_formula_sum 'Th1 Ge4 Pd6'
_space_group_name_H-M_alt 'P -6 m 2'
_space_group_IT_number 187
_space_group_name_Hall 'P -6 2'
_cell_length_a 7.3296
_cell_length_b 7.3296
_cell_length_c 4.0328
_cell_angle_alpha 90.00
_cell_angle_beta 90.00
_cell_angle_gamma 120.00
loop_
_atom_site_label
_atom_site_fract_x
_atom_site_fract_y
_atom_site_fract_z
_atom_site_occupancy
Th1 0.0000 0.0000 0.0000 1
Ge1 0.3333 0.6667 0.0000 1
Ge2 0.3890 0.1945 0.5000 1
Pd1 0.1984 0.3968 0.5000 1
Pd2 0.5349 0.0698 0.0000 1
```

---

# 5
LiAg12O7: optimized geometry, PBE.

Summary:
Its formation energy from raw total energies is -2.8 eV/f.u. The size of the total moment comes out at 0.003 μB per cell.

```
data_LiAg12O7
_chemical_formula_sum 'Li3 Ag36 O21'
_space_group_name_H-M_alt 'R -3'
_space_group_IT_number 148
_space_group_name_Hall '-R 3'
_cell_length_a 11.4295
_cell_length_b 11.4295
_cell_length_c 7.8518
_cell_angle_alpha 90.00
_cell_angle_beta 90.00
_cell_angle_gamma 120.00
loop_
_atom_site_label
_atom_site_fract_x
_atom_site_fract_y
_atom_site_fract_z
_atom_site_occupancy
Li1 0.0000 0.0000 0.0000 1
Ag1 0.0116 0.5904 0.6695 1
Ag2 0.0468 0.1952 0.3464 1
O1 0.0000 0.0000 0.5000 1
O2 0.0295 0.1795 0.8383 1
```

---

# 6
Pm3Cd9Au2: optimized geometry, PBE.

Summary:
The size of the total moment comes out at 0.000 μB per cell. The value obtained for the formation energy is -31 kJ per mole of atoms.

```
data_Pm3Cd9Au2
_chemical_formula_sum 'Pm6 Cd18 Au4'
_space_group_name_H-M_alt 'I m m m'
_space_group_IT_number 71
_space_group_name_Hall '-I 2 2'
_cell_length_a 4.856
_cell_length_b 10.664
_cell_length_c 12.934
_cell_angle_alpha 90.00
_cell_angle_beta 90.00
_cell_angle_gamma 90.00
loop_
_atom_site_label
_atom_site_fract_x
_atom_site_fract_y
_atom_site_fract_z
_atom_site_occupancy
Pm1 0.000 0.000 0.000 1
Pm2 0.000 0.000 0.297 1
Cd1 0.000 0.277 0.140 1
Cd2 0.000 0.369 0.357 1
Cd3 0.000 0.500 0.000 1
Au1 0.000 0.160 0.500 1
```